A plane-wave DFT calculation with PBE-GGA was carried out for crystalline TaAlNiHg at its relaxed geometry.

## Properties
- magnetization (Bohr magnetons per cell) = 0.0
- energy relative to the lowest polymorph listed for this composition (meV per atom) = 0

a b c (Å): 4.513 4.513 4.513
angles (deg): 60.00 60.00 60.00
Atoms (fractional coordinates):
1 Ni 0.750 0.750 0.750
2 Hg 0.250 0.250 0.250
3 Al 0.000 0.000 0.000
4 Ta 0.500 0.500 0.500